Computed, not measured: crystalline LaPr2Co2B2N3 at its relaxed geometry at the PBE level of DFT.

Summary:
VASP energy = -154.2 eV/cell

CIF file:
```
data_LaPr2Co2B2N3
_chemical_formula_sum 'La2 Pr4 Co4 B4 N6'
_space_group_name_H-M_alt 'I 4/m m m'
_space_group_IT_number 139
_space_group_name_Hall '-I 4 2'
_cell_length_a 3.678
_cell_length_b 3.678
_cell_length_c 20.128
_cell_angle_alpha 90.00
_cell_angle_beta 90.00
_cell_angle_gamma 90.00
loop_
_atom_site_label
_atom_site_fract_x
_atom_site_fract_y
_atom_site_fract_z
La1 0.000 0.000 0.000
Pr1 0.000 0.000 0.369
Co1 0.000 0.500 0.250
B1 0.000 0.000 0.199
N1 0.000 0.000 0.126
N2 0.000 0.000 0.500
```

=====

Computed, not measured: crystalline LaPrCo2B2N2 at its relaxed geometry at the PBE level of DFT.

Summary:
VASP energy = -61.4 eV/cell

CIF file:
```
data_LaPrCo2B2N2
_chemical_formula_sum 'La1 Pr1 Co2 B2 N2'
_space_group_name_H-M_alt 'P 4 m m'
_space_group_IT_number 99
_cell_length_a 3.700
_cell_length_b 3.700
_cell_length_c 7.408
_cell_angle_alpha 90.00
_cell_angle_beta 90.00
_cell_angle_gamma 90.00
loop_
_space_group_symop_operation_xyz
'x,y,z'
'-y,x,z'
'-x,-y,z'
'y,-x,z'
'-x,y,z'
'y,x,z'
'x,-y,z'
'-y,-x,z'
loop_
_atom_site_label
_atom_site_fract_x
_atom_site_fract_y
_atom_site_fract_z
La1 0.000 0.000 0.000
Pr1 0.500 0.500 0.360
Co1 0.000 0.500 0.680
B1 0.000 0.000 0.543
B2 0.500 0.500 0.817
N1 0.000 0.000 0.342
N2 0.500 0.500 0.017
```